[1]
Here is a geometry-optimized NbBi2Br2 structure from the Alexandria database. Energies are from GGA-PBEsol.

Results
Total DFT energy (no corrections), eV per atom: -3.94
Calculated volume, Å³/f.u.: 169
Magnetization, μB/atom: 0.61

Cell: 4.0596 4.0596 20.4536 Å, 90.00 90.00 90.00°
Positions (direct):
Nb: 0.0000 0.0000 0.0000
Nb: 0.5000 0.5000 0.5000
Bi: 0.0000 0.5000 0.2500
Bi: 0.0000 0.5000 0.7500
Bi: 0.5000 0.0000 0.2500
Bi: 0.5000 0.0000 0.7500
Br: 0.0000 0.0000 0.4236
Br: 0.0000 0.0000 0.5764
Br: 0.5000 0.5000 0.0764
Br: 0.5000 0.5000 0.9236


[2]
Here is a geometry-optimized Ba4NdIr3O12 structure from the Alexandria database. Energies are from GGA-PBEsol.

Results
Total DFT energy (no corrections), eV per atom: -7.29
Calculated volume, Å³/f.u.: 299
Magnetization, μB/atom: 0.00

Cell: 5.9076 5.9076 10.7016 Å, 109.00 109.00 59.78°
Positions (direct):
Ba: 0.1284 0.1284 0.3871
Ba: 0.2759 0.2759 0.8538
Ba: 0.7241 0.7241 0.1462
Ba: 0.8716 0.8716 0.6129
Nd: 0.0000 0.0000 0.0000
Ir: 0.4295 0.4295 0.2460
Ir: 0.5000 0.5000 0.5000
Ir: 0.5705 0.5705 0.7540
O: 0.1484 0.6151 0.3657
O: 0.2398 0.2398 0.1089
O: 0.2480 0.7198 0.1480
O: 0.2802 0.7520 0.8520
O: 0.3731 0.3731 0.6060
O: 0.3849 0.8516 0.6343
O: 0.6151 0.1484 0.3657
O: 0.6269 0.6269 0.3940
O: 0.7198 0.2480 0.1480
O: 0.7520 0.2802 0.8520
O: 0.7602 0.7602 0.8911
O: 0.8516 0.3849 0.6343


total DFT energy (no corrections) of number 2 (Ba4NdIr3O12)? -7.29 eV per atom